Record 1
Here is a relaxed Cs3SrTe2O9 crystal from Alexandria via LeMat-Bulk. Energies are from PBE-GGA.

Output
Its total moment is 1.27 Bohr magnetons per cell. Its total energy is -5.0053 eV/atom. The calculated density comes out at 5.73 g/cm3.

```
data_Cs3SrTe2O9
_chemical_formula_sum 'Cs3 Sr1 Te2 O9'
_cell_length_a 6.2088
_cell_length_b 6.2088
_cell_length_c 7.6881
_cell_angle_alpha 90.00
_cell_angle_beta 90.00
_cell_angle_gamma 120.00
_space_group_name_H-M_alt 'P -3 m 1'
_space_group_IT_number 164
_space_group_name_Hall '-P 3 2"'
loop_
_atom_site_label
_atom_site_type_symbol
_atom_site_fract_x
_atom_site_fract_y
_atom_site_fract_z
Cs1 Cs 0.0000 0.0000 0.0000
Cs2 Cs 0.3333 0.6667 0.6623
Sr1 Sr 0.0000 0.0000 0.5000
Te1 Te 0.3333 0.6667 0.1616
O1 O 0.0000 0.5000 0.0000
O2 O 0.1852 0.3703 0.2966
```

Record 2
Here is a relaxed CsSr2TlO4 crystal from Alexandria via LeMat-Bulk. Energies are from PBE-GGA.

Output
Its total moment is 0.00 Bohr magnetons per cell. Its total energy is -4.9636 eV/atom. The calculated density comes out at 6.10 g/cm3.

```
data_CsSr2TlO4
_chemical_formula_sum 'Cs4 Sr8 Tl4 O16'
_cell_length_a 7.6529
_cell_length_b 7.7204
_cell_length_c 10.6176
_cell_angle_alpha 90.00
_cell_angle_beta 90.00
_cell_angle_gamma 90.00
_space_group_name_H-M_alt 'I m m a'
_space_group_IT_number 74
_space_group_name_Hall '-I 2b 2'
loop_
_atom_site_label
_atom_site_type_symbol
_atom_site_fract_x
_atom_site_fract_y
_atom_site_fract_z
Cs1 Cs 0.2500 0.2500 0.2500
Sr1 Sr 0.0000 0.0000 0.0000
Sr2 Sr 0.2500 0.2500 0.7500
Tl1 Tl 0.0000 0.0000 0.5000
O1 O 0.0000 0.0338 0.6969
O2 O 0.2112 0.2500 0.9813
```

Record 3
Here is a relaxed CsSrTlO2 crystal from Alexandria via LeMat-Bulk. Energies are from PBE-GGA.

Output
The value obtained for the polymorph energy (0 for the lowest one) is 0.0000 eV per atom. Its total moment is 0.00 Bohr magnetons per cell. Its total energy is -4.2789 eV/atom. The calculated density comes out at 4.27 g/cm3.

```
data_CsSrTlO2
_chemical_formula_sum 'Cs2 Sr2 Tl2 O4'
_cell_length_a 7.3676
_cell_length_b 6.9864
_cell_length_c 6.9375
_cell_angle_alpha 90.00
_cell_angle_beta 95.87
_cell_angle_gamma 90.00
_space_group_name_H-M_alt 'P 1 2/c 1'
_space_group_IT_number 13
loop_
_space_group_symop_operation_xyz
'x,y,z'
'-x,-y,-z'
'-x,y,-z+1/2'
'x,-y,z+1/2'
loop_
_atom_site_label
_atom_site_type_symbol
_atom_site_fract_x
_atom_site_fract_y
_atom_site_fract_z
Cs1 Cs 0.0000 0.2458 0.2500
Sr1 Sr 0.5000 0.4863 0.7500
Tl1 Tl 0.5000 0.0000 0.0000
O1 O 0.3446 0.3179 0.4723
```

Record 4
Here is a relaxed CsSrTlO3 crystal from Alexandria via LeMat-Bulk. Energies are from PBE-GGA.

Output
Its total moment is 0.00 Bohr magnetons per cell. Its total energy is -4.8034 eV/atom. The calculated density comes out at 5.43 g/cm3.

```
data_CsSrTlO3
_chemical_formula_sum 'Cs4 Sr4 Tl4 O12'
_cell_length_a 3.9752
_cell_length_b 14.6062
_cell_length_c 9.9620
_cell_angle_alpha 90.00
_cell_angle_beta 90.00
_cell_angle_gamma 90.00
_space_group_name_H-M_alt 'C m c m'
_space_group_IT_number 63
_space_group_name_Hall '-C 2c 2'
loop_
_atom_site_label
_atom_site_type_symbol
_atom_site_fract_x
_atom_site_fract_y
_atom_site_fract_z
Cs1 Cs 0.0000 0.1848 0.2500
Sr1 Sr 0.0000 0.5000 0.0000
Tl1 Tl 0.0000 0.0798 0.7500
O1 O 0.0000 0.1085 0.5475
O2 O 0.0000 0.4815 0.7500
```

Record 5
Here is a relaxed CsSrTlO2 crystal from Alexandria via LeMat-Bulk. Energies are from PBE-GGA.

Output
The value obtained for the polymorph energy (0 for the lowest one) is 1.4833 eV per atom. Its total moment is 0.00 Bohr magnetons per cell. Its total energy is -2.7956 eV/atom. The calculated density comes out at 5.34 g/cm3.

```
data_CsSrTlO2
_chemical_formula_sum 'Cs1 Sr1 Tl1 O2'
_cell_length_a 4.9170
_cell_length_b 4.9170
_cell_length_c 5.8726
_cell_angle_alpha 90.00
_cell_angle_beta 90.00
_cell_angle_gamma 90.00
_space_group_name_H-M_alt 'P 4/m m m'
_space_group_IT_number 123
_space_group_name_Hall '-P 4 2'
loop_
_atom_site_label
_atom_site_type_symbol
_atom_site_fract_x
_atom_site_fract_y
_atom_site_fract_z
Cs1 Cs 0.0000 0.0000 0.0000
Sr1 Sr 0.5000 0.5000 0.0000
Tl1 Tl 0.0000 0.0000 0.5000
O1 O 0.0000 0.5000 0.5000
```

Record 6
Here is a relaxed Cs3Sr2UO6 crystal from Alexandria via LeMat-Bulk. Energies are from PBE-GGA.

Output
Its total moment is 2.01 Bohr magnetons per cell. Its total energy is -6.3494 eV/atom. The calculated density comes out at 6.06 g/cm3.

```
data_Cs3Sr2UO6
_chemical_formula_sum 'Cs6 Sr4 U2 O12'
_cell_length_a 6.4567
_cell_length_b 11.1754
_cell_length_c 7.2117
_cell_angle_alpha 90.00
_cell_angle_beta 107.13
_cell_angle_gamma 90.00
_space_group_name_H-M_alt 'C 1 2/m 1'
_space_group_IT_number 12
loop_
_space_group_symop_operation_xyz
'x,y,z'
'-x,-y,-z'
'-x,y,-z'
'x,-y,z'
'x+1/2,y+1/2,z'
'-x+1/2,-y+1/2,-z'
'-x+1/2,y+1/2,-z'
'x+1/2,-y+1/2,z'
loop_
_atom_site_label
_atom_site_type_symbol
_atom_site_fract_x
_atom_site_fract_y
_atom_site_fract_z
Cs1 Cs 0.0000 0.0000 0.0000
Cs2 Cs 0.0000 0.3317 0.0000
Sr1 Sr 0.0000 0.1666 0.5000
U1 U 0.0000 0.5000 0.5000
O1 O 0.2003 0.3566 0.6699
O2 O 0.2297 0.5000 0.3256
```